Entry 1:
Here is an optimized crystal structure of In2SbBr5 from Alexandria via LeMat-Bulk. Energies are from PBE.

Cell and atoms, written as CIF:
```
data_In2SbBr5
_cell_length_a 12.9191
_cell_length_b 8.0547
_cell_length_c 8.0727
_cell_angle_alpha 90.00
_cell_angle_beta 127.19
_cell_angle_gamma 90.00
_space_group_name_H-M_alt 'P 1'
_space_group_IT_number 1
loop_
_space_group_symop_operation_xyz
'x,y,z'
loop_
_atom_site_label
_atom_site_type_symbol
_atom_site_fract_x
_atom_site_fract_y
_atom_site_fract_z
_atom_site_occupancy
In1 In 0.0000 0.0000 0.0000 1
In2 In 0.0016 0.5000 0.4670 1
In3 In 0.5000 0.5000 0.0000 1
In4 In 0.5016 0.0000 0.4670 1
Sb1 Sb 0.1647 0.5000 0.1217 1
Sb2 Sb 0.6647 0.0000 0.1217 1
Br1 Br 0.1491 0.2546 0.8628 1
Br2 Br 0.1491 0.7454 0.8628 1
Br3 Br 0.1704 0.2521 0.3773 1
Br4 Br 0.1704 0.7479 0.3773 1
Br5 Br 0.4123 0.5000 0.3486 1
Br6 Br 0.6491 0.2454 0.8628 1
Br7 Br 0.6491 0.7546 0.8628 1
Br8 Br 0.6704 0.2479 0.3773 1
Br9 Br 0.6704 0.7521 0.3773 1
Br10 Br 0.9123 0.0000 0.3486 1
```

Entry 2:
# In2SbBr | Alexandria via LeMat-Bulk | PBE | optimized geometry
# Energy above the lowest structure with this stoichiometry, eV per atom: 0.000
data_In2SbBr
_cell_length_a 4.4002
_cell_length_b 4.5000
_cell_length_c 6.3012
_cell_angle_alpha 90.00
_cell_angle_beta 90.00
_cell_angle_gamma 90.00
_space_group_name_H-M_alt 'P 1'
_space_group_IT_number 1
loop_
_space_group_symop_operation_xyz
'x,y,z'
loop_
_atom_site_label
_atom_site_type_symbol
_atom_site_fract_x
_atom_site_fract_y
_atom_site_fract_z
_atom_site_occupancy
In1 In 0.0000 0.0000 0.0000 1
In2 In 0.5000 0.5000 0.5000 1
Sb1 Sb 0.0000 0.0000 0.5000 1
Br1 Br 0.5000 0.5000 0.0000 1

Entry 3:
# In2SbBr | Alexandria via LeMat-Bulk | PBE | optimized geometry
# Energy above the lowest structure with this stoichiometry, eV per atom: 0.200
data_In2SbBr
_cell_length_a 7.8931
_cell_length_b 7.8931
_cell_length_c 9.2449
_cell_angle_alpha 90.00
_cell_angle_beta 90.00
_cell_angle_gamma 90.00
_space_group_name_H-M_alt 'P 1'
_space_group_IT_number 1
loop_
_space_group_symop_operation_xyz
'x,y,z'
loop_
_atom_site_label
_atom_site_type_symbol
_atom_site_fract_x
_atom_site_fract_y
_atom_site_fract_z
_atom_site_occupancy
In1 In 0.2339 0.7500 0.1250 1
In2 In 0.2500 0.2339 0.8750 1
In3 In 0.2500 0.2661 0.3750 1
In4 In 0.2661 0.7500 0.6250 1
In5 In 0.7339 0.2500 0.6250 1
In6 In 0.7500 0.7339 0.3750 1
In7 In 0.7500 0.7661 0.8750 1
In8 In 0.7661 0.2500 0.1250 1
Sb1 Sb 0.0000 0.0000 0.0000 1
Sb2 Sb 0.0000 0.5000 0.2500 1
Sb3 Sb 0.5000 0.0000 0.7500 1
Sb4 Sb 0.5000 0.5000 0.5000 1
Br1 Br 0.0000 0.0000 0.5000 1
Br2 Br 0.0000 0.5000 0.7500 1
Br3 Br 0.5000 0.0000 0.2500 1
Br4 Br 0.5000 0.5000 0.0000 1

Entry 4:
# InSb2Br | Alexandria via LeMat-Bulk | PBE | optimized geometry
# Energy above the lowest structure with this stoichiometry, eV per atom: 0.282
data_InSb2Br
_cell_length_a 7.5256
_cell_length_b 7.5256
_cell_length_c 7.5256
_cell_angle_alpha 90.00
_cell_angle_beta 90.00
_cell_angle_gamma 90.00
_space_group_name_H-M_alt 'P 1'
_space_group_IT_number 1
loop_
_space_group_symop_operation_xyz
'x,y,z'
loop_
_atom_site_label
_atom_site_type_symbol
_atom_site_fract_x
_atom_site_fract_y
_atom_site_fract_z
_atom_site_occupancy
In1 In 0.0000 0.0000 0.0000 1
In2 In 0.0000 0.5000 0.5000 1
In3 In 0.5000 0.0000 0.5000 1
In4 In 0.5000 0.5000 0.0000 1
Sb1 Sb 0.2500 0.2500 0.2500 1
Sb2 Sb 0.2500 0.2500 0.7500 1
Sb3 Sb 0.2500 0.7500 0.2500 1
Sb4 Sb 0.2500 0.7500 0.7500 1
Sb5 Sb 0.7500 0.2500 0.2500 1
Sb6 Sb 0.7500 0.2500 0.7500 1
Sb7 Sb 0.7500 0.7500 0.2500 1
Sb8 Sb 0.7500 0.7500 0.7500 1
Br1 Br 0.0000 0.0000 0.5000 1
Br2 Br 0.0000 0.5000 0.0000 1
Br3 Br 0.5000 0.0000 0.0000 1
Br4 Br 0.5000 0.5000 0.5000 1

Entry 5:
# InSb2Br | Alexandria via LeMat-Bulk | PBE | optimized geometry
# Energy above the lowest structure with this stoichiometry, eV per atom: 0.142
data_InSb2Br
_cell_length_a 4.2954
_cell_length_b 4.2954
_cell_length_c 7.1881
_cell_angle_alpha 90.00
_cell_angle_beta 90.00
_cell_angle_gamma 90.00
_space_group_name_H-M_alt 'P 1'
_space_group_IT_number 1
loop_
_space_group_symop_operation_xyz
'x,y,z'
loop_
_atom_site_label
_atom_site_type_symbol
_atom_site_fract_x
_atom_site_fract_y
_atom_site_fract_z
_atom_site_occupancy
In1 In 0.0000 0.0000 0.0000 1
Sb1 Sb 0.0000 0.5000 0.5000 1
Sb2 Sb 0.5000 0.0000 0.5000 1
Br1 Br 0.5000 0.5000 0.0000 1

Entry 6:
# In2SbBr | Alexandria via LeMat-Bulk | PBE | optimized geometry
# Energy above the lowest structure with this stoichiometry, eV per atom: 0.127
data_In2SbBr
_cell_length_a 3.5430
_cell_length_b 5.1414
_cell_length_c 12.7220
_cell_angle_alpha 90.00
_cell_angle_beta 90.00
_cell_angle_gamma 90.00
_space_group_name_H-M_alt 'P 1'
_space_group_IT_number 1
loop_
_space_group_symop_operation_xyz
'x,y,z'
loop_
_atom_site_label
_atom_site_type_symbol
_atom_site_fract_x
_atom_site_fract_y
_atom_site_fract_z
_atom_site_occupancy
In1 In 0.0000 0.0000 0.0000 1
In2 In 0.0000 0.5000 0.2849 1
In3 In 0.5000 0.0000 0.7849 1
In4 In 0.5000 0.5000 0.5000 1
Sb1 Sb 0.0000 0.5000 0.7060 1
Sb2 Sb 0.5000 0.0000 0.2060 1
Br1 Br 0.0000 0.0000 0.4916 1
Br2 Br 0.5000 0.5000 0.9916 1

Record order is preserved below.
Size of the total moment: 0.0 0.0 0.0 0.0 0.0 0.0 μB/f.u.
Record order is preserved below.
Formation energy without anion corrections: -607 -270 -70 142 2 -142 meV/atom